(1)
SmY2Tm7: optimized geometry, PBE-GGA.

DOS at the Fermi energy, states/eV per cell: 35.28
DFT formation energy, eV per atom: 0.054
Excess energy over the best structure of this formula in the dataset, meV/atom: 0
Crystal system: monoclinic

abc: 17.930 5.380 6.959
angles: 90.00 112.77 90.00
Space group C2/m (No. 12)
One atom of each set of equivalent atoms:
Sm (0.000, 0.000, 0.000)
Y (0.200, 0.000, 0.700)
Tm (0.000, 0.000, 0.500)
Tm (0.109, 0.500, 0.361)
Tm (0.109, 0.500, 0.859)
Tm (0.200, 0.000, 0.200)

=====

(2)
SmYTmZr: optimized geometry, PBE-GGA.

DOS at the Fermi energy, states/eV per cell: 30.22
DFT formation energy, eV per atom: 0.218
Crystal system: cubic

abc: 7.783 7.783 7.783
angles: 90.00 90.00 90.00
Space group F-43m (No. 216)
One atom of each set of equivalent atoms:
Sm (0.000, 0.000, 0.000)
Y (0.250, 0.250, 0.750)
Tm (0.250, 0.250, 0.250)
Zr (0.000, 0.000, 0.500)

=====

(3)
Sm2Y3Tm6Zr: optimized geometry, PBE-GGA.

DOS at the Fermi energy, states/eV per cell: 31.87
DFT formation energy, eV per atom: 0.053
Crystal system: monoclinic

abc: 6.072 10.505 11.597
angles: 90.00 100.01 90.00
Space group C2/m (No. 12)
One atom of each set of equivalent atoms:
Sm (0.000, 0.167, 0.000)
Y (0.000, 0.000, 0.500)
Y (0.000, 0.334, 0.500)
Tm (0.245, 0.337, 0.245)
Tm (0.245, 0.500, 0.755)
Zr (0.000, 0.500, 0.000)

=====

(4)
Sm3Y2Tm6Zr: optimized geometry, PBE-GGA.

DOS at the Fermi energy, states/eV per cell: 31.40
DFT formation energy, eV per atom: 0.046
Crystal system: monoclinic

abc: 6.089 10.534 11.566
angles: 90.00 100.08 90.00
Space group C2/m (No. 12)
One atom of each set of equivalent atoms:
Sm (0.000, 0.000, 0.000)
Sm (0.000, 0.334, 0.000)
Y (0.000, 0.167, 0.500)
Tm (0.243, 0.337, 0.744)
Tm (0.245, 0.500, 0.257)
Zr (0.000, 0.500, 0.500)

=====

(5)
SmTmZn2: optimized geometry, PBE-GGA.

DOS at the Fermi energy, states/eV per cell: 17.68
DFT formation energy, eV per atom: -0.330
Excess energy over the best structure of this formula in the dataset, meV/atom: 0
Crystal system: cubic

abc: 7.170 7.170 7.170
angles: 90.00 90.00 90.00
Space group Fm-3m (No. 225)
One atom of each set of equivalent atoms:
Sm (0.000, 0.000, 0.000)
Tm (0.000, 0.000, 0.500)
Zn (0.250, 0.250, 0.250)

=====

(6)
SmTm6Zn2: optimized geometry, PBE-GGA.

DOS at the Fermi energy, states/eV per cell: 21.19
DFT formation energy, eV per atom: -0.140
Crystal system: monoclinic

abc: 12.313 3.579 11.614
angles: 90.00 108.66 90.00
Space group C2/m (No. 12)
One atom of each set of equivalent atoms:
Sm (0.000, 0.000, 0.000)
Tm (0.021, 0.000, 0.333)
Tm (0.187, 0.500, 0.587)
Tm (0.190, 0.500, 0.874)
Zn (0.152, 0.500, 0.213)

=====

(7)
Sm4Tm3Zn: optimized geometry, PBE-GGA.

DOS at the Fermi energy, states/eV per cell: 10.48
DFT formation energy, eV per atom: -0.060
Crystal system: tetragonal

abc: 3.597 3.597 18.566
angles: 90.00 90.00 90.00
Space group P4/mmm (No. 123)
One atom of each set of equivalent atoms:
Sm (0.000, 0.000, 0.098)
Sm (0.000, 0.000, 0.367)
Tm (0.500, 0.500, 0.234)
Tm (0.500, 0.500, 0.500)
Zn (0.500, 0.500, 0.000)

=====

(8)
Sm2TmZn2: optimized geometry, PBE-GGA.

DOS at the Fermi energy, states/eV per cell: 10.92
DFT formation energy, eV per atom: -0.195
Excess energy over the best structure of this formula in the dataset, meV/atom: 0
Crystal system: orthorhombic

abc: 3.595 20.327 3.525
angles: 90.00 90.00 90.00
Space group Cmmm (No. 65)
One atom of each set of equivalent atoms:
Sm (0.000, 0.173, 0.000)
Tm (0.000, 0.000, 0.000)
Zn (0.000, 0.419, 0.500)